Entry 1:
DFT (PBE) results for a relaxed structure of ZrCu2Pt5.

extended XYZ file:
```
8
Lattice="-2.920 -2.836 -0.007 2.836 -2.920 -0.027 0.068 2.834 7.411" Properties=species:S:1:pos:R:3 pbc="T T T"
Pt -1.453 -1.430 1.981
Pt 1.425 -1.472 1.971
Pt 1.437 -1.493 5.396
Pt -0.042 -2.878 -0.017
Pt -1.441 -1.450 5.406
Cu -0.029 -2.900 3.662
Cu 0.013 -0.022 3.714
Zr 0.000 0.000 0.000
```

V: 122.5 Å³ per cell
Crystal system: tetragonal
Energy of formation from the pure elements: -0.588 eV per atom

Entry 2:
DFT (PBE) results for a relaxed structure of Na2ZrCr2.

extended XYZ file:
```
10
Lattice="8.594 0.000 0.000 0.000 8.594 0.000 0.000 0.000 2.719" Properties=species:S:1:pos:R:3 pbc="T T T"
Cr 4.952 0.655 0.000
Cr 3.641 7.938 0.000
Cr 7.938 4.952 0.000
Cr 0.655 3.641 0.000
Na 6.799 2.503 1.360
Na 6.091 6.799 1.360
Na 1.794 6.091 1.360
Na 2.503 1.794 1.360
Zr 0.000 0.000 0.000
Zr 4.297 4.297 0.000
```

V: 200.8 Å³ per cell
Crystal system: tetragonal
Energy of formation from the pure elements: 1.114 eV per atom

Entry 3:
DFT (PBE) results for a relaxed structure of AcDy2Th.

extended XYZ file:
```
4
Lattice="3.599 0.000 0.000 1.799 3.117 0.000 1.799 1.039 12.638" Properties=species:S:1:pos:R:3 pbc="T T T"
Dy 1.799 1.039 9.080
Dy 5.398 3.117 3.558
Ac 0.000 0.000 0.000
Th 3.599 2.078 6.319
```

V: 141.7 Å³ per cell
Crystal system: trigonal
Energy of formation from the pure elements: 0.159 eV per atom

What did the second record say?
DFT (PBE) results for a relaxed structure of Na2ZrCr2.

extended XYZ file:
```
10
Lattice="8.594 0.000 0.000 0.000 8.594 0.000 0.000 0.000 2.719" Properties=species:S:1:pos:R:3 pbc="T T T"
Cr 4.952 0.655 0.000
Cr 3.641 7.938 0.000
Cr 7.938 4.952 0.000
Cr 0.655 3.641 0.000
Na 6.799 2.503 1.360
Na 6.091 6.799 1.360
Na 1.794 6.091 1.360
Na 2.503 1.794 1.360
Zr 0.000 0.000 0.000
Zr 4.297 4.297 0.000
```

V: 200.8 Å³ per cell
Crystal system: tetragonal
Energy of formation from the pure elements: 1.114 eV per atom